BaInGa2Tc: optimized geometry, PBE.

## Properties
- Space-group type: No. 123
- Relative energy among the computed polymorphs: 0.00 kJ/mol of atoms
- Magnetization: 0.000 μB per atom

```
data_BaInGa2Tc
_chemical_formula_sum 'Ba1 In1 Ga2 Tc1'
_space_group_name_H-M_alt 'P 1'
_space_group_IT_number 1
_space_group_name_Hall 'P 1'
_cell_length_a 4.9669
_cell_length_b 4.9669
_cell_length_c 5.2181
_cell_angle_alpha 90.00
_cell_angle_beta 90.00
_cell_angle_gamma 90.00
loop_
_atom_site_label
_atom_site_fract_x
_atom_site_fract_y
_atom_site_fract_z
_atom_site_occupancy
Tc1 0.0000 0.0000 0.0000 1
Ba1 0.5000 0.5000 0.5000 1
Ga1 0.0000 0.5000 0.0000 1
Ga2 0.5000 0.0000 0.0000 1
In1 0.0000 0.0000 0.5000 1
```